This record from Alexandria via LeMat-Bulk describes a relaxed structure of La6Nd4Cd. The functional is PBE.

```
La6Nd4Cd
1.0
-3.371 3.371 8.369
3.371 -3.371 8.369
3.371 3.371 -8.369
La Nd Cd
6 4 1
direct
0.000 0.500 0.500
0.043 0.725 0.000
0.275 0.275 0.318
0.500 0.000 0.500
0.725 0.043 0.000
0.957 0.957 0.682
0.140 0.140 0.643
0.496 0.496 0.357
0.504 0.860 0.000
0.860 0.504 0.000
0.500 0.500 0.000
```

Computed properties:
Symmetry: No. 121
Energy relative to the elements in meV per atom: 152